# 1
This record from the Alexandria database describes crystalline SrBeMo2 at its relaxed geometry. The functional is PBE.

Cell lengths 3.2031, 3.2031, 25.6755 Å; angles 90.00, 90.00, 120.00 degrees
Space group R3m (No. 160, hexagonal axes)
Asymmetric unit:
Sr (0.0000, 0.0000, 0.0000) [3 per cell]
Be (0.0000, 0.0000, 0.7607) [3 per cell]
Mo (0.0000, 0.0000, 0.2265) [3 per cell]
Mo (0.0000, 0.0000, 0.4894) [3 per cell]

Results
M_tot: 0.000 μB per formula unit

# 2
This record from the Alexandria database describes crystalline SrBeMo at its relaxed geometry. The functional is PBE.

Cell lengths 6.534, 6.534, 6.534 Å; angles 90.00, 90.00, 90.00 degrees
Space group F-43m (No. 216)
Asymmetric unit:
Sr (0.000, 0.000, 0.000) [4 per cell]
Be (0.250, 0.250, 0.250) [4 per cell]
Mo (0.000, 0.000, 0.500) [4 per cell]

Results
M_tot: 2.535 μB per formula unit
E above lowest polymorph: 613.1 meV per atom

# 3
This record from the Alexandria database describes crystalline SrBeMo2 at its relaxed geometry. The functional is PBE.

Cell lengths 4.421, 4.421, 18.290 Å; angles 90.00, 90.00, 90.00 degrees
Space group I-42d (No. 122)
Asymmetric unit:
Sr (0.000, 0.000, 0.000) [4 per cell]
Be (0.000, 0.000, 0.500) [4 per cell]
Mo (0.092, 0.250, 0.625) [8 per cell]

Results
M_tot: 0.000 μB per formula unit

# 4
This record from the Alexandria database describes crystalline SrBeMo2 at its relaxed geometry. The functional is PBE.

Cell lengths 3.327, 5.330, 9.040 Å; angles 90.00, 90.00, 90.00 degrees
Space group Imm2 (No. 44)
Asymmetric unit:
Sr (0.000, 0.000, 0.000) [2 per cell]
Be (0.000, 0.500, 0.210) [2 per cell]
Mo (0.000, 0.000, 0.493) [2 per cell]
Mo (0.000, 0.500, 0.796) [2 per cell]

Results
M_tot: 0.000 μB per formula unit

# 5
This record from the Alexandria database describes crystalline SrBeMo2 at its relaxed geometry. The functional is PBE.

Cell lengths 6.611, 6.611, 6.611 Å; angles 90.00, 90.00, 90.00 degrees
Space group F-43m (No. 216)
Asymmetric unit:
Sr (0.000, 0.000, 0.000) [4 per cell]
Be (0.250, 0.250, 0.750) [4 per cell]
Mo (0.000, 0.000, 0.500) [4 per cell]
Mo (0.250, 0.250, 0.250) [4 per cell]

Results
M_tot: 1.121 μB per formula unit

# 6
This record from the Alexandria database describes crystalline Sr3BeMo at its relaxed geometry. The functional is PBE.

Cell lengths 5.851, 5.851, 5.851 Å; angles 90.00, 90.00, 90.00 degrees
Space group Pm-3m (No. 221)
Asymmetric unit:
Sr (0.000, 0.000, 0.500) [3 per cell]
Be (0.000, 0.000, 0.000) [1 per cell]
Mo (0.500, 0.500, 0.500) [1 per cell]

Results
M_tot: 4.467 μB per formula unit
E above lowest polymorph: 0.0 meV per atom

Result set for calculated formation energy: 0.80 1.29 1.11 0.98 0.96 1.08 eV per atom, one per record in the order listed.